[1]
The following is a PBE-GGA calculation of crystalline Sr3TlO at its relaxed geometry, from Alexandria.

The structure in POSCAR format:
```
Sr3TlO
1.0
3.694 2.132 6.371
-3.694 2.132 6.371
0.000 -4.265 6.371
Sr Tl O
6 2 2
Cartesian
-2.047 0.639 4.727
0.470 -2.092 4.727
-1.577 -1.453 14.387
1.577 1.453 4.727
-0.470 2.092 14.387
2.047 -0.639 14.387
0.000 0.000 7.813
0.000 0.000 11.301
0.000 0.000 3.288
0.000 0.000 15.825
```

Properties
Energy relative to the elements, uncorrected ... -1.08 eV per atom



[2]
The following is a PBE-GGA calculation of crystalline ScSnAu at its relaxed geometry, from Alexandria.

The structure in POSCAR format:
```
ScSnAu
1.0
4.687 0.000 0.000
-2.343 4.059 0.000
0.000 0.000 3.322
Sc Sn Au
1 1 1
Cartesian
0.000 0.000 0.000
0.000 2.706 1.655
2.343 1.353 1.669
```

Properties
ΔH_f (0 K) ... -0.609 eV/atom



[3]
The following is a PBE-GGA calculation of crystalline TbPrY2P4 at its relaxed geometry, from Alexandria.

The structure in POSCAR format:
```
TbPrY2P4
1.0
-2.876 2.876 5.752
2.876 -2.876 5.752
2.876 2.876 -5.752
Tb Pr Y P
1 1 2 4
Cartesian
0.000 0.000 0.000
0.000 0.000 5.752
2.876 0.000 2.876
0.000 2.876 2.876
2.876 0.000 0.000
0.000 0.000 2.828
0.000 2.876 0.000
0.000 0.000 8.675
```

Properties
ΔH_f (0 K) ... -1.581 eV/atom



[4]
The following is a PBE-GGA calculation of crystalline NdDyHo at its relaxed geometry, from Alexandria.

The structure in POSCAR format:
```
NdDyHo
1.0
2.531 -7.593 0.000
2.531 7.593 0.000
0.000 0.000 10.149
Nd Dy Ho
4 4 4
Cartesian
2.531 6.324 8.873
2.531 1.269 3.799
2.531 -1.269 6.350
2.531 -6.324 1.276
2.531 6.306 3.804
2.531 1.287 8.878
2.531 -1.287 1.270
2.531 -6.306 6.345
2.531 3.814 1.271
2.531 3.779 6.346
2.531 -3.779 3.803
2.531 -3.814 8.877
```

Properties
ΔE to the lowest computed polymorph ... 2 kJ/mol of formula units
ΔH_f (0 K) ... 0.020 eV/atom



Number 4 is which compound? NdDyHo



Copy entry 4 word for word.
The following is a PBE-GGA calculation of crystalline NdDyHo at its relaxed geometry, from Alexandria.

The structure in POSCAR format:
```
NdDyHo
1.0
2.531 -7.593 0.000
2.531 7.593 0.000
0.000 0.000 10.149
Nd Dy Ho
4 4 4
Cartesian
2.531 6.324 8.873
2.531 1.269 3.799
2.531 -1.269 6.350
2.531 -6.324 1.276
2.531 6.306 3.804
2.531 1.287 8.878
2.531 -1.287 1.270
2.531 -6.306 6.345
2.531 3.814 1.271
2.531 3.779 6.346
2.531 -3.779 3.803
2.531 -3.814 8.877
```

Properties
ΔE to the lowest computed polymorph ... 2 kJ/mol of formula units
ΔH_f (0 K) ... 0.020 eV/atom